No. 1
The following is a DFT calculation (GGA-PBE) of a geometry-optimized LiSiIr2 structure.

Cell lengths 4.7810, 4.7810, 4.7810 Å; angles 135.78, 135.78, 64.33 degrees
With the nearest neighbours (Å) after each atom.
Fractional positions:
Ir 0.0000 0.0000 0.0000  4 Li 2.55, 4 Si 2.71, 4 Ir 2.71
Ir 0.2500 0.7500 0.5000  4 Si 2.55, 4 Li 2.71, 4 Ir 2.71
Si 0.7500 0.2500 0.5000  8 Ir 2.55-2.71, 4 Li 2.71
Li 0.5000 0.5000 0.0000  8 Ir 2.55-2.71, 4 Si 2.71

Properties
Formation energy without anion corrections   -0.264 eV per atom
Spin magnetization   0.00 Bohr magnetons per cell


No. 2
The following is a DFT calculation (GGA-PBE) of a geometry-optimized NiHgBPC structure.

Cell lengths 3.1962, 3.1962, 7.8783 Å; angles 90.00, 90.00, 120.00 degrees
With the nearest neighbours (Å) after each atom.
Fractional positions:
C 0.0000 0.0000 0.8958  3 Ni 1.89
B 0.3333 0.6667 0.2148  3 P 1.92, 1 Ni 2.11
Hg 0.0000 0.0000 0.6077  1 C 2.27
Ni 0.3333 0.6667 0.9470  3 C 1.89, 1 B 2.11
P 0.0000 0.0000 0.2805  3 B 1.92

Properties
Spin magnetization   0.00 Bohr magnetons per cell
Calculated formation energy   454 meV per atom
Energy relative to the lowest polymorph listed for this composition   0.179 eV per atom


No. 3
The following is a DFT calculation (GGA-PBE) of a geometry-optimized CdSI2N structure.

Cell lengths 6.0702, 6.0702, 4.3365 Å; angles 90.00, 90.00, 90.00 degrees
With the nearest neighbours (Å) after each atom.
Fractional positions:
I 0.0000 0.5000 0.0000  2 Cd 3.04
I 0.5000 0.0000 0.0000  2 Cd 3.04
Cd 0.0000 0.0000 0.0000  2 N 2.17
N 0.0000 0.0000 0.5000  2 Cd 2.17
S 0.5000 0.5000 0.5000  8 I 3.73

Properties
Formation energy without anion corrections   1.144 eV per atom
Spin magnetization   5.04 Bohr magnetons per cell
Energy relative to the lowest polymorph listed for this composition   0.545 eV per atom


No. 4
The following is a DFT calculation (GGA-PBE) of a geometry-optimized AgTe2Ru structure.

Cell lengths 5.6983, 5.6983, 5.6983 Å; angles 137.46, 137.46, 61.73 degrees
With the nearest neighbours (Å) after each atom.
Fractional positions:
Te 0.0000 0.0000 0.0000  4 Ag 2.92, 4 Ru 3.20, 4 Te 3.20
Te 0.2500 0.7500 0.5000  4 Ru 2.92, 4 Te 3.20, 4 Ag 3.20
Ag 0.5000 0.5000 0.0000  8 Te 2.92-3.20, 4 Ru 3.20
Ru 0.7500 0.2500 0.5000  8 Te 2.92-3.20, 4 Ag 3.20

Properties
Formation energy without anion corrections   0.528 eV per atom
Spin magnetization   0.00 Bohr magnetons per cell
Energy relative to the lowest polymorph listed for this composition   0.521 eV per atom